VASP calculation (PBE with a Hubbard U) on crystalline ScFeHg2F at its relaxed geometry.

Structure (POSCAR):
```
ScFeHg2F
1.0
5.340 0.000 0.000
0.000 5.340 0.000
0.000 0.000 3.799
Sc Fe Hg F
1 1 2 1
Direct
0.000 0.000 0.000
0.500 0.500 0.000
0.000 0.500 0.500
0.500 0.000 0.500
0.500 0.500 0.500
```

SG: P4/mmm (123)
VASP energy: -3.243 eV/atom